Entry 1:
The following is a GGA-PBE calculation of VOs3Rh after structural relaxation, from the Alexandria database.

```
data_VOs3Rh
_chemical_formula_sum 'V1 Os3 Rh1'
_cell_length_a 4.4269
_cell_length_b 4.4269
_cell_length_c 4.4269
_cell_angle_alpha 90.00
_cell_angle_beta 90.00
_cell_angle_gamma 90.00
_symmetry_space_group_name_H-M 'P m -3 m'
_symmetry_Int_Tables_number 221
_symmetry_space_group_name_Hall '-P 4 2 3'
loop_
_atom_site_label
_atom_site_type_symbol
_atom_site_fract_x
_atom_site_fract_y
_atom_site_fract_z
V1 V 0.0000 0.0000 0.0000
Os1 Os 0.0000 0.0000 0.5000
Rh1 Rh 0.5000 0.5000 0.5000
```

Output
DFT formation energy: 1.752 eV/atom
mass density: 13.87 g/cm³
V: 17.35 Å³ per atom



Entry 2:
The following is a GGA-PBE calculation of Li2Sm2TmIn5 after structural relaxation, from the Alexandria database.

```
data_Li2Sm2TmIn5
_chemical_formula_sum 'Li4 Sm4 Tm2 In10'
_cell_length_a 10.2749
_cell_length_b 10.2749
_cell_length_c 4.4978
_cell_angle_alpha 90.00
_cell_angle_beta 90.00
_cell_angle_gamma 90.00
_symmetry_space_group_name_H-M 'P 4/m b m'
_symmetry_Int_Tables_number 127
_symmetry_space_group_name_Hall '-P 4 2ab'
loop_
_atom_site_label
_atom_site_type_symbol
_atom_site_fract_x
_atom_site_fract_y
_atom_site_fract_z
Li1 Li 0.1168 0.3832 0.0000
Sm1 Sm 0.1776 0.6776 0.0000
Tm1 Tm 0.0000 0.0000 0.0000
In1 In 0.0000 0.5000 0.5000
In2 In 0.0690 0.2101 0.5000
```

Output
DFT formation energy: -0.403 eV/atom
mass density: 7.40 g/cm³
V: 23.74 Å³ per atom



Entry 3:
The following is a GGA-PBE calculation of Sc2TiAg after structural relaxation, from the Alexandria database.

```
data_Sc2TiAg
_chemical_formula_sum 'Sc2 Ti1 Ag1'
_cell_length_a 4.7909
_cell_length_b 4.7909
_cell_length_c 3.5575
_cell_angle_alpha 90.00
_cell_angle_beta 90.00
_cell_angle_gamma 90.00
_symmetry_space_group_name_H-M 'P 4/m m m'
_symmetry_Int_Tables_number 123
_symmetry_space_group_name_Hall '-P 4 2'
loop_
_atom_site_label
_atom_site_type_symbol
_atom_site_fract_x
_atom_site_fract_y
_atom_site_fract_z
Sc1 Sc 0.0000 0.5000 0.0000
Ti1 Ti 0.0000 0.0000 0.5000
Ag1 Ag 0.5000 0.5000 0.5000
```

Output
DFT formation energy: -0.004 eV/atom
mass density: 5.00 g/cm³
V: 20.41 Å³ per atom